Entry 1:
Below is a geometry-optimized Cu3Ag7 structure, with properties calculated at the PBE-GGA level.

Computed properties:
As for the formation energy: 0.08 eV/atom. The calculation puts the distance to the lowest polymorph of the same formula at 1.19 kcal/mol of atoms. The volume comes out at 163.96 Å³ per cell.

abc: 4.9265 4.9452 7.5408
angles: 108.99 102.38 99.67
Last column: nearest neighbours and their distance in Å.
Positions (direct):
Ag: 0.2862 0.5916 0.0909  4 Cu 2.75-2.88, 8 Ag 2.75-2.99
Ag: 0.5120 0.0105 0.5095  9 Ag 2.77-2.99, 3 Cu 2.79-2.86
Cu: 0.7070 0.4057 0.8986  9 Ag 2.75-2.90, 3 Cu 2.76-2.85
Ag: 0.4113 0.8027 0.8031  6 Cu 2.75-2.88, 6 Ag 2.81-2.91
Cu: 0.8025 0.6026 0.6091  2 Cu 2.75-2.76, 10 Ag 2.78-2.94
Cu: 0.9905 0.9917 0.9924  9 Ag 2.75-2.92, 3 Cu 2.75-2.85
Ag: 0.8966 0.7949 0.2932  3 Cu 2.81-2.93, 9 Ag 2.82-2.95
Ag: 0.6005 0.2024 0.1944  8 Ag 2.81-2.92, 4 Cu 2.83-2.94
Ag: 0.0927 0.1978 0.7076  7 Ag 2.75-2.95, 5 Cu 2.76-2.90
Ag: 0.2008 0.4002 0.4011  9 Ag 2.86-2.91, 3 Cu 2.87-2.92

Entry 2:
Below is a geometry-optimized CuAg structure, with properties calculated at the PBE-GGA level.

Computed properties:
As for the formation energy: 0.09 eV/atom. The volume comes out at 149.50 Å³ per cell.

abc: 4.7989 4.7989 8.7666
angles: 90.40 90.40 47.77
Last column: nearest neighbours and their distance in Å.
Positions (direct):
Cu: 0.0000 0.0000 0.0000  8 Cu 2.61-2.78, 4 Ag 2.65
Cu: 0.2938 0.2938 0.0915  7 Cu 2.63-2.78, 5 Ag 2.63-2.77
Cu: 0.8925 0.8925 0.2769  3 Cu 2.61-2.67, 8 Ag 2.73-2.91
Ag: 0.5000 0.5000 0.5000  8 Ag 2.78-2.88, 4 Cu 2.91
Cu: 0.1075 0.1075 0.7231  3 Cu 2.61-2.67, 8 Ag 2.73-2.91
Ag: 0.7980 0.7980 0.6113  5 Cu 2.73-3.05, 7 Ag 2.78-2.88
Ag: 0.5899 0.5899 0.1845  9 Cu 2.63-2.77, 3 Ag 2.81-2.88
Cu: 0.7062 0.7062 0.9085  7 Cu 2.63-2.78, 5 Ag 2.63-2.77
Ag: 0.2020 0.2020 0.3887  5 Cu 2.73-3.05, 7 Ag 2.78-2.88
Ag: 0.4101 0.4101 0.8155  9 Cu 2.63-2.77, 3 Ag 2.81-2.88

Entry 3:
Below is a geometry-optimized CuAg structure, with properties calculated at the PBE-GGA level.

Computed properties:
As for the formation energy: 0.14 eV/atom. The volume comes out at 122.59 Å³ per cell.

abc: 2.7298 4.0919 10.9750
angles: 90.00 90.00 90.00
Last column: nearest neighbours and their distance in Å.
Positions (direct):
Cu: 0.5000 0.0000 0.0707  5 Cu 2.41-2.61
Cu: 0.0000 0.5000 0.1494  5 Cu 2.41-2.61, 2 Ag 2.59
Ag: 0.5000 0.5000 0.4291  11 Ag 2.73-3.03
Ag: 0.5000 0.5000 0.7052  4 Cu 2.59-2.81, 6 Ag 2.73-2.87
Ag: 0.0000 0.0000 0.2948  4 Cu 2.59-2.81, 6 Ag 2.73-2.87
Ag: 0.0000 0.0000 0.5709  11 Ag 2.73-3.03
Cu: 0.0000 0.5000 0.9293  5 Cu 2.41-2.61
Cu: 0.5000 0.0000 0.8506  5 Cu 2.41-2.61, 2 Ag 2.59

Entry 4:
Below is a geometry-optimized Cu5Ag3 structure, with properties calculated at the PBE-GGA level.

Computed properties:
As for the formation energy: 0.05 eV/atom. The calculation puts the distance to the lowest polymorph of the same formula at 0.06 kcal/mol of atoms. The volume comes out at 112.48 Å³ per cell.

abc: 2.7717 2.7717 14.6417
angles: 90.00 90.00 90.00
Last column: nearest neighbours and their distance in Å.
Positions (direct):
Cu: 0.5000 0.5000 0.6078  12 Cu 2.52-2.77
Ag: 0.5000 0.5000 0.1526  4 Cu 2.75, 8 Ag 2.77-2.97
Cu: 0.0000 0.0000 0.5000  12 Cu 2.52-2.77
Ag: 0.5000 0.5000 0.8474  4 Cu 2.75, 8 Ag 2.77-2.97
Cu: 0.5000 0.5000 0.3922  12 Cu 2.52-2.77
Cu: 0.0000 0.0000 0.7155  8 Cu 2.52-2.77, 4 Ag 2.75
Ag: 0.0000 0.0000 0.0000  12 Ag 2.77-2.97
Cu: 0.0000 0.0000 0.2845  8 Cu 2.52-2.77, 4 Ag 2.75

Entry 5:
Below is a geometry-optimized Cu4Ag5 structure, with properties calculated at the PBE-GGA level.

Computed properties:
As for the formation energy: 0.10 eV/atom. The calculation puts the distance to the lowest polymorph of the same formula at 1.32 kcal/mol of atoms. The volume comes out at 137.62 Å³ per cell.

abc: 6.2885 6.2885 6.2885
angles: 144.47 95.52 95.17
Last column: nearest neighbours and their distance in Å.
Positions (direct):
Ag: 0.9953 0.3325 0.6628  7 Cu 2.74-2.84, 5 Ag 2.75-2.85
Cu: 0.6652 0.0056 0.6596  4 Cu 2.69-2.88, 8 Ag 2.71-2.93
Ag: 0.6697 0.3325 0.3372  7 Cu 2.74-2.84, 5 Ag 2.75-2.85
Cu: 0.6617 0.6617 0.0000  7 Ag 2.68-2.79, 5 Cu 2.69-2.84
Ag: 0.9901 0.6600 0.3302  6 Cu 2.73-2.93, 6 Ag 2.78-2.87
Cu: 0.3460 0.0056 0.3404  4 Cu 2.69-2.88, 8 Ag 2.71-2.93
Ag: 0.3298 0.6600 0.6698  6 Cu 2.73-2.93, 6 Ag 2.78-2.87
Ag: 0.3456 0.3456 0.0000  6 Cu 2.68-2.96, 6 Ag 2.85-2.87
Cu: 0.9966 0.9966 0.0000  9 Ag 2.74-2.96, 3 Cu 2.84-2.88

Entry 6:
Below is a geometry-optimized Cu3Ag2 structure, with properties calculated at the PBE-GGA level.

Computed properties:
As for the formation energy: 0.09 eV/atom. The calculation puts the distance to the lowest polymorph of the same formula at 1.21 kcal/mol of atoms. The volume comes out at 143.10 Å³ per cell.

abc: 7.2664 7.2664 5.5448
angles: 101.98 101.98 30.03
Last column: nearest neighbours and their distance in Å.
Positions (direct):
Cu: 0.8012 0.8012 0.4184  5 Cu 2.54-2.63, 6 Ag 2.71-2.81
Ag: 0.3967 0.3967 0.1908  8 Cu 2.70-2.85, 4 Ag 2.71-2.84
Cu: 0.5997 0.5997 0.8029  6 Ag 2.64-2.79, 6 Cu 2.73-2.79
Ag: 0.6037 0.6037 0.3080  7 Cu 2.71-2.80, 5 Ag 2.76-2.84
Cu: 0.2088 0.2088 0.6054  7 Cu 2.56-2.79, 5 Ag 2.69-2.86
Ag: 0.1991 0.1991 0.0844  9 Cu 2.64-2.86, 3 Ag 2.71-2.76
Cu: 0.9950 0.9950 0.9897  6 Ag 2.62-2.80, 5 Cu 2.65-2.73
Cu: 0.3961 0.3961 0.7042  8 Cu 2.57-2.79, 4 Ag 2.70-2.85
Cu: 0.7993 0.7993 0.8752  7 Cu 2.54-2.74, 4 Ag 2.73-2.75
Ag: 0.0003 0.0003 0.5211  7 Cu 2.62-2.86, 4 Ag 2.79-2.81

Entry 7:
Below is a geometry-optimized CuAg structure, with properties calculated at the PBE-GGA level.

Computed properties:
As for the formation energy: 0.04 eV/atom. The volume comes out at 118.48 Å³ per cell.

abc: 2.8928 2.8949 14.1482
angles: 90.04 90.15 90.00
Last column: nearest neighbours and their distance in Å.
Positions (direct):
Cu: 0.5032 0.5032 0.3616  8 Cu 2.49-2.50
Cu: 0.9993 0.0027 0.2612  8 Cu 2.48-2.50
Ag: 0.0125 0.0026 0.7373  12 Ag 2.89-2.95
Ag: 0.5041 0.5001 0.8855  12 Ag 2.89-2.95
Cu: 0.4933 0.5006 0.1609  4 Cu 2.48-2.50, 4 Ag 2.72-2.73
Ag: 0.9947 0.9998 0.0342  4 Cu 2.72-2.73, 8 Ag 2.89-2.95
Ag: 0.5144 0.5044 0.5884  4 Cu 2.70-2.73, 8 Ag 2.89-2.95
Cu: 0.0050 0.0046 0.4625  4 Cu 2.49-2.50, 4 Ag 2.70-2.73

Entry 8:
Below is a geometry-optimized CuAg structure, with properties calculated at the PBE-GGA level.

Computed properties:
As for the formation energy: 0.09 eV/atom. The volume comes out at 598.69 Å³ per cell.

abc: 6.0630 8.7740 11.3597
angles: 90.00 97.81 90.00
Last column: nearest neighbours and their distance in Å.
Positions (direct):
Cu: 0.5884 0.5000 0.2457  6 Cu 2.53-2.80, 5 Ag 2.63-2.81
Ag: 0.4238 0.7497 0.5979  5 Cu 2.69-2.74, 6 Ag 2.86-2.89
Cu: 0.5233 0.2406 0.9925  5 Cu 2.57-2.74, 5 Ag 2.72-2.80
Cu: 0.7694 0.7506 0.2000  6 Cu 2.54-2.81, 5 Ag 2.66-2.72
Cu: 0.6262 0.7489 0.4012  6 Cu 2.54-2.82, 5 Ag 2.69-2.71
Ag: 0.4238 0.2503 0.5979  5 Cu 2.69-2.74, 6 Ag 2.86-2.89
Ag: 0.3290 0.2490 0.2003  5 Cu 2.67-2.78, 6 Ag 2.84-2.90
Cu: 0.5233 0.7594 0.9925  5 Cu 2.57-2.74, 5 Ag 2.72-2.80
Ag: 0.3650 0.0000 0.3678  5 Cu 2.64-2.92, 6 Ag 2.85-2.89
Cu: 0.7462 0.0000 0.9567  6 Cu 2.57-2.82, 4 Ag 2.61-2.75
Cu: 0.8056 0.0000 0.3553  6 Cu 2.54-2.80, 5 Ag 2.62-2.83
Cu: 0.8761 0.7498 0.6014  6 Cu 2.54-2.83, 5 Ag 2.69-2.74
Cu: 0.8356 0.5000 0.4439  6 Cu 2.53-2.82, 5 Ag 2.63-2.83
Cu: 0.6902 0.5000 0.6431  6 Cu 2.54-2.82, 5 Ag 2.62-2.83
Cu: 0.7191 0.7504 0.7994  6 Cu 2.56-2.82, 5 Ag 2.66-2.81
Ag: 0.1830 0.7500 0.8001  5 Cu 2.72-2.81, 6 Ag 2.83-2.88
Cu: 0.7694 0.2494 0.2000  6 Cu 2.54-2.81, 5 Ag 2.66-2.72
Ag: 0.9759 0.7398 0.0085  6 Cu 2.65-2.78, 5 Ag 2.80-2.92
Ag: 0.2844 0.5000 0.0352  5 Cu 2.67-2.81, 6 Ag 2.76-2.88
Ag: 0.3290 0.7511 0.2003  5 Cu 2.67-2.78, 6 Ag 2.84-2.90
Ag: 0.1368 0.5000 0.6344  5 Cu 2.63-2.84, 6 Ag 2.85-2.88
Ag: 0.4835 0.5000 0.8309  7 Cu 2.62-2.91, 4 Ag 2.76-2.85
Cu: 0.9375 0.5000 0.8465  4 Cu 2.58-2.74, 7 Ag 2.73-2.84
Cu: 0.8761 0.2502 0.6014  6 Cu 2.54-2.83, 5 Ag 2.69-2.74
Ag: 0.0208 0.0000 0.1707  5 Cu 2.62-2.75, 6 Ag 2.83-2.92
Cu: 0.7191 0.2496 0.7994  6 Cu 2.56-2.82, 5 Ag 2.66-2.81
Ag: 0.1159 0.0000 0.5657  5 Cu 2.67-2.83, 6 Ag 2.85-2.88
Ag: 0.4634 0.0000 0.7614  5 Cu 2.61-2.77, 6 Ag 2.84-2.87
Ag: 0.9759 0.2602 0.0085  6 Cu 2.65-2.78, 5 Ag 2.80-2.92
Cu: 0.5651 0.0000 0.1483  6 Cu 2.54-2.74, 4 Ag 2.66-2.74
Ag: 0.0358 0.5000 0.2326  5 Cu 2.64-2.83, 6 Ag 2.87-2.89
Ag: 0.0732 0.2490 0.3986  5 Cu 2.71-2.74, 6 Ag 2.86-2.90
Ag: 0.0732 0.7510 0.3986  5 Cu 2.71-2.74, 6 Ag 2.86-2.90
Ag: 0.3779 0.5000 0.4334  5 Cu 2.63-2.83, 6 Ag 2.87
Cu: 0.6262 0.2511 0.4012  6 Cu 2.54-2.82, 5 Ag 2.69-2.71
Cu: 0.6684 0.0000 0.5580  6 Cu 2.55-2.82, 5 Ag 2.64-2.77
Cu: 0.9153 0.0000 0.7604  6 Cu 2.56-2.83, 5 Ag 2.67-2.84
Ag: 0.2389 0.0000 0.9657  5 Cu 2.66-2.98, 6 Ag 2.83-2.88
Ag: 0.1830 0.2500 0.8001  5 Cu 2.72-2.81, 6 Ag 2.83-2.88
Cu: 0.7272 0.5000 0.0448  6 Cu 2.54-2.81, 5 Ag 2.64-2.67

Entry 9:
Below is a geometry-optimized Cu3Ag2 structure, with properties calculated at the PBE-GGA level.

Computed properties:
As for the formation energy: 0.09 eV/atom. The calculation puts the distance to the lowest polymorph of the same formula at 1.04 kcal/mol of atoms. The volume comes out at 142.84 Å³ per cell.

abc: 2.8028 3.5145 14.5007
angles: 90.00 90.00 90.00
Last column: nearest neighbours and their distance in Å.
Positions (direct):
Ag: 0.5000 0.0000 0.2085  5 Cu 2.71-2.73, 6 Ag 2.80-2.88
Cu: 0.0000 0.5000 0.8953  10 Cu 2.57-2.80, 2 Ag 2.74-2.75
Cu: 0.0000 0.5000 0.3134  6 Cu 2.55-2.80, 5 Ag 2.71-2.72
Ag: 0.0000 0.5000 0.0848  5 Cu 2.71-2.75, 6 Ag 2.80-2.88
Ag: 0.0000 0.5000 0.7061  9 Cu 2.69-2.74, 3 Ag 2.80-2.97
Ag: 0.0000 0.5000 0.5011  9 Cu 2.70-2.72, 3 Ag 2.80-2.97
Cu: 0.5000 0.0000 0.8097  5 Cu 2.48-2.57, 4 Ag 2.70
Cu: 0.5000 0.0000 0.9807  5 Cu 2.48-2.57, 4 Ag 2.71
Cu: 0.5000 0.0000 0.6038  8 Ag 2.69-2.70, 4 Cu 2.80-3.00
Cu: 0.5000 0.0000 0.3966  6 Cu 2.55-2.80, 5 Ag 2.71-2.73

Entry 10:
Below is a geometry-optimized CuAg structure, with properties calculated at the PBE-GGA level.

Computed properties:
As for the formation energy: 0.09 eV/atom. The volume comes out at 147.77 Å³ per cell.

abc: 2.7842 3.7761 14.0555
angles: 90.00 90.00 90.00
Last column: nearest neighbours and their distance in Å.
Positions (direct):
Ag: 0.5000 0.5000 0.3110  5 Cu 2.62-2.73, 6 Ag 2.78-2.84
Ag: 0.0000 0.0000 0.5968  5 Cu 2.63-2.73, 6 Ag 2.78-2.84
Cu: 0.0000 0.0000 0.8108  5 Cu 2.45-2.64, 4 Ag 2.73
Ag: 0.5000 0.5000 0.0838  5 Cu 2.62-2.73, 6 Ag 2.78-2.84
Ag: 0.0000 0.0000 0.1973  10 Ag 2.78-2.84, 2 Cu 2.99
Cu: 0.5000 0.5000 0.4975  5 Ag 2.62-2.73, 6 Cu 2.65-2.78
Cu: 0.0000 0.0000 0.4098  5 Ag 2.63-2.73, 6 Cu 2.65-2.78
Cu: 0.0000 0.0000 0.9848  5 Cu 2.45-2.65, 4 Ag 2.73
Cu: 0.5000 0.5000 0.8975  2 Ag 2.62, 10 Cu 2.64-2.78
Ag: 0.5000 0.5000 0.7109  5 Cu 2.62-2.73, 6 Ag 2.78-2.84